1.
The following is a DFT calculation (PBE) of crystalline B3C at its relaxed geometry.

Electronic total energy = -0.25316 Ha/atom
Relative energy among the computed polymorphs = 0.185 eV per atom
DOS at the Fermi energy = 0.8 states/eV/cell
Energy of formation from the pure elements = 1.7 eV per formula unit

POSCAR file:
```
B3C
1.0
-1.982 -0.515 -1.845
-2.144 -0.848 2.541
-1.943 9.222 -0.486
B C
9 3
Direct
0.000 0.419 0.885
0.000 0.818 0.619
0.500 0.768 0.249
0.000 0.125 0.480
0.500 0.417 0.104
0.000 0.166 0.031
0.500 0.843 0.010
0.000 0.338 0.219
0.500 0.368 0.564
0.500 0.556 0.835
0.500 0.706 0.693
0.000 0.975 0.311
```

2.
The following is a DFT calculation (PBE) of crystalline BC at its relaxed geometry.

Electronic total energy = -0.27359 Ha/atom
Relative energy among the computed polymorphs = 0.355 eV per atom
DOS at the Fermi energy = 3.4 states/eV/cell
Energy of formation from the pure elements = 1.0 eV per formula unit

POSCAR file:
```
BC
1.0
-0.598 -8.832 7.703
1.667 -7.880 8.533
-0.558 -6.923 9.458
C B
5 5
Direct
0.000 0.000 0.000
0.560 0.560 0.560
0.348 0.348 0.348
0.600 0.600 0.600
0.392 0.392 0.392
0.156 0.156 0.156
0.743 0.743 0.743
0.205 0.205 0.205
0.792 0.792 0.792
0.954 0.954 0.954
```

3.
The following is a DFT calculation (PBE) of crystalline BC at its relaxed geometry.

Electronic total energy = -0.27818 Ha/atom
Relative energy among the computed polymorphs = 0.230 eV per atom
DOS at the Fermi energy = 1.4 states/eV/cell
Energy of formation from the pure elements = 0.8 eV per formula unit

POSCAR file:
```
BC
1.0
6.174 0.130 -1.366
5.582 2.641 -1.366
-0.050 -0.012 5.253
B C
6 6
Direct
0.994 0.994 0.537
0.252 0.252 0.875
0.009 0.009 0.977
0.255 0.255 0.377
0.595 0.595 0.540
0.898 0.898 0.184
0.335 0.335 0.169
0.663 0.663 0.841
0.662 0.662 0.318
0.335 0.335 0.673
0.596 0.596 0.044
0.905 0.905 0.716
```

4.
The following is a DFT calculation (PBE) of crystalline BC at its relaxed geometry.

Electronic total energy = -0.27855 Ha/atom
Relative energy among the computed polymorphs = 0.220 eV per atom
DOS at the Fermi energy = 1.7 states/eV/cell
Energy of formation from the pure elements = 0.7 eV per formula unit

POSCAR file:
```
BC
1.0
-2.136 0.871 1.091
0.650 -1.017 2.085
6.186 10.917 3.399
B C
6 6
Direct
0.000 0.000 0.352
0.500 0.000 0.924
0.000 0.000 0.655
0.500 0.500 0.817
0.500 0.000 0.256
0.500 0.500 0.151
0.000 0.000 0.005
0.500 0.000 0.578
0.500 0.500 0.507
0.000 0.500 0.744
0.000 0.500 0.070
0.000 0.500 0.440
```

5.
The following is a DFT calculation (PBE) of crystalline B7C5 at its relaxed geometry.

Electronic total energy = -0.27001 Ha/atom
Relative energy among the computed polymorphs = 0.227 eV per atom
DOS at the Fermi energy = 0.8 states/eV/cell
Energy of formation from the pure elements = 4.7 eV per formula unit

POSCAR file:
```
B7C5
1.0
-2.645 -0.360 -0.392
0.521 -3.601 -0.208
-0.957 -1.883 8.186
B C
7 5
Direct
0.000 0.903 0.384
0.500 0.646 0.501
0.000 0.305 0.486
0.500 0.709 0.297
0.000 0.249 0.221
0.500 0.497 0.831
0.000 0.908 0.957
0.500 0.707 0.001
0.500 0.445 0.163
0.000 0.051 0.677
0.500 0.826 0.664
0.000 0.253 0.819
```

6.
The following is a DFT calculation (PBE) of crystalline B7C5 at its relaxed geometry.

Electronic total energy = -0.27121 Ha/atom
Relative energy among the computed polymorphs = 0.194 eV per atom
DOS at the Fermi energy = 1.6 states/eV/cell
Energy of formation from the pure elements = 4.3 eV per formula unit

POSCAR file:
```
B7C5
1.0
-1.749 6.477 1.846
-4.024 5.104 2.485
1.757 -1.231 3.612
B C
7 5
Direct
0.681 0.681 0.357
0.906 0.906 0.142
0.019 0.019 0.018
0.007 0.007 0.491
0.319 0.319 0.153
0.354 0.354 0.682
0.669 0.669 0.830
0.234 0.234 0.832
0.572 0.572 0.500
0.580 0.580 0.078
0.242 0.242 0.428
0.916 0.916 0.738
```

7.
The following is a DFT calculation (PBE) of crystalline B3C7 at its relaxed geometry.

Electronic total energy = -0.29761 Ha/atom
Relative energy among the computed polymorphs = 0.099 eV per atom
DOS at the Fermi energy = 2.5 states/eV/cell
Energy of formation from the pure elements = 3.6 eV per formula unit

POSCAR file:
```
B3C7
1.0
2.265 -3.733 1.500
3.544 -2.464 -1.637
5.635 -0.801 1.974
C B
7 3
Direct
0.800 0.998 0.299
0.848 0.553 0.416
0.236 0.946 0.199
0.665 0.335 0.000
0.002 0.200 0.701
0.447 0.152 0.584
0.054 0.764 0.801
0.400 0.600 0.500
0.603 0.804 0.895
0.196 0.397 0.105
```

8.
The following is a DFT calculation (PBE) of crystalline B3C5 at its relaxed geometry.

Electronic total energy = -0.29136 Ha/atom
Relative energy among the computed polymorphs = 0.066 eV per atom
DOS at the Fermi energy = 0.5 states/eV/cell
Energy of formation from the pure elements = 2.7 eV per formula unit

POSCAR file:
```
B3C5
1.0
9.028 -1.281 0.055
9.028 1.281 0.055
8.833 0.000 2.266
B C
3 5
Direct
0.750 0.750 0.750
0.555 0.555 0.555
0.258 0.258 0.258
0.317 0.317 0.317
0.811 0.811 0.811
0.060 0.060 0.060
0.003 0.003 0.003
0.495 0.495 0.495
```